1.
# KSr2ScCu (GGA-PBEsol, optimized geometry)
data_KSr2ScCu
_space_group_name_H-M_alt 'P 4/m m m'
_space_group_IT_number 123
_space_group_name_Hall '-P 4 2'
_cell_length_a 6.2161
_cell_length_b 6.2161
_cell_length_c 5.3590
_cell_angle_alpha 90.00
_cell_angle_beta 90.00
_cell_angle_gamma 90.00
loop_
_atom_site_label
_atom_site_fract_x
_atom_site_fract_y
_atom_site_fract_z
_atom_site_occupancy
K1 0.0000 0.0000 0.0000 1
Sr1 0.0000 0.5000 0.0000 1
Sc1 0.0000 0.0000 0.5000 1
Cu1 0.5000 0.5000 0.5000 1
# E_form ... 1.429 eV per atom
# Total moment ... 3.1 μB per cell
# Electronic total energy ... -1.722 eV per atom



2.
# KCu2Se (GGA-PBEsol, optimized geometry)
data_KCu2Se
_space_group_name_H-M_alt 'I 4/m m m'
_space_group_IT_number 139
_space_group_name_Hall '-I 4 2'
_cell_length_a 4.3172
_cell_length_b 4.3172
_cell_length_c 7.9038
_cell_angle_alpha 90.00
_cell_angle_beta 90.00
_cell_angle_gamma 90.00
loop_
_atom_site_label
_atom_site_fract_x
_atom_site_fract_y
_atom_site_fract_z
_atom_site_occupancy
K1 0.0000 0.0000 0.0000 1
Cu1 0.0000 0.5000 0.2500 1
Se1 0.0000 0.0000 0.5000 1
# Total moment ... 0.0 μB per cell
# Electronic total energy ... -3.056 eV per atom
# Formation energy (no corrections) ... 0.36 eV per atom



Question: Which formula does entry 1 have?
Answer: KSr2ScCu



Question: total moment of number 2 (KCu2Se)?
Answer: 0.0 μB per cell